[1]
Computed, not measured: a geometry-optimized Nd6Sm2Y3Sc structure at the PBE-GGA level of DFT.

a b c (Å): 6.270 6.270 11.871
angles (deg): 95.05 95.05 120.01
Fractional coordinates of all 12 atoms:
Nd  0.082  0.412  0.248
Nd  0.248  0.248  0.751
Nd  0.412  0.082  0.248
Nd  0.588  0.918  0.752
Nd  0.752  0.752  0.249
Nd  0.918  0.588  0.752
Sm  0.333  0.667  0.000
Sm  0.667  0.333  0.000
Y  0.166  0.834  0.500
Y  0.500  0.500  0.500
Y  0.834  0.166  0.500
Sc  0.000  0.000  0.000

Output
calculated total energy: -5.29 eV per atom
V: 33.16 Å³/atom
total moment: 0.0 μB/cell
space group: C2/m (12)



[2]
Computed, not measured: a geometry-optimized Nd2Sm4YSc structure at the PBE-GGA level of DFT.

a b c (Å): 5.079 5.091 10.109
angles (deg): 90.00 90.05 90.00
Fractional coordinates of all 8 atoms:
Nd  0.000  0.000  0.000
Nd  0.500  0.500  0.500
Sm  0.000  0.500  0.244
Sm  0.000  0.500  0.756
Sm  0.500  0.000  0.245
Sm  0.500  0.000  0.755
Y  0.000  0.000  0.500
Sc  0.500  0.500  0.000

Output
calculated total energy: -5.12 eV per atom
V: 32.68 Å³/atom
total moment: 0.0 μB/cell
space group: P2/m (10)



[3]
Computed, not measured: a geometry-optimized NdSm2Y2Sc structure at the PBE-GGA level of DFT.

a b c (Å): 5.679 10.833 6.290
angles (deg): 90.00 90.00 90.00
Fractional coordinates of all 12 atoms:
Nd  0.000  0.245  0.000
Nd  0.000  0.755  0.500
Sm  0.000  0.418  0.498
Sm  0.000  0.582  0.998
Sm  0.500  0.241  0.664
Sm  0.500  0.759  0.164
Y  0.000  0.078  0.482
Y  0.000  0.922  0.982
Y  0.500  0.411  0.165
Y  0.500  0.589  0.665
Sc  0.500  0.080  0.160
Sc  0.500  0.920  0.660

Output
calculated total energy: -5.54 eV per atom
V: 32.25 Å³/atom
total moment: 0.0 μB/cell
space group: Pmc2_1 (26)



[4]
Computed, not measured: a geometry-optimized Nd3SmY6Sc2 structure at the PBE-GGA level of DFT.

a b c (Å): 6.163 6.163 11.750
angles (deg): 95.00 95.00 119.99
Fractional coordinates of all 12 atoms:
Nd  0.000  0.000  0.000
Nd  0.333  0.667  0.000
Nd  0.667  0.333  0.000
Sm  0.500  0.500  0.500
Y  0.083  0.419  0.258
Y  0.245  0.245  0.742
Y  0.419  0.083  0.258
Y  0.581  0.917  0.742
Y  0.755  0.755  0.258
Y  0.917  0.581  0.742
Sc  0.167  0.833  0.500
Sc  0.833  0.167  0.500

Output
calculated total energy: -5.83 eV per atom
V: 31.72 Å³/atom
total moment: 0.0 μB/cell
space group: C2/m (12)



[5]
Computed, not measured: a geometry-optimized NdSmY3Sc structure at the PBE-GGA level of DFT.

a b c (Å): 7.944 7.944 10.046
angles (deg): 90.00 90.00 143.23
Fractional coordinates of all 12 atoms:
Nd  0.003  0.997  0.750
Nd  0.997  0.003  0.250
Sm  0.500  0.500  0.000
Sm  0.500  0.500  0.500
Y  0.168  0.832  0.501
Y  0.168  0.832  0.999
Y  0.330  0.670  0.750
Y  0.670  0.330  0.250
Y  0.832  0.168  0.001
Y  0.832  0.168  0.499
Sc  0.332  0.668  0.250
Sc  0.668  0.332  0.750

Output
calculated total energy: -5.83 eV per atom
V: 31.62 Å³/atom
total moment: 0.0 μB/cell
space group: Cmcm (63)



[6]
Computed, not measured: a geometry-optimized NdSmY2Sc structure at the PBE-GGA level of DFT.

a b c (Å): 7.893 5.030 7.932
angles (deg): 90.00 90.22 90.00
Fractional coordinates of all 10 atoms:
Nd  0.244  0.250  0.242
Nd  0.756  0.750  0.758
Sm  0.446  0.250  0.652
Sm  0.554  0.750  0.348
Y  0.147  0.750  0.547
Y  0.340  0.750  0.949
Y  0.660  0.250  0.051
Y  0.853  0.250  0.453
Sc  0.048  0.250  0.852
Sc  0.952  0.750  0.148

Output
calculated total energy: -5.70 eV per atom
V: 31.49 Å³/atom
total moment: 0.0 μB/cell
space group: P2_1/m (11)